First-principles (SCAN) data for a crystal of KMn2CdTe relaxed with PBEsol, as listed in Alexandria via LeMat-Bulk.

abc: 5.4167 5.4167 5.4963
angles: 90.00 90.00 90.00
Last column: nearest neighbours and their distance in Å.
Element x y z (fractional)
K  0.0000  0.0000  0.0000  4 Mn 2.71, 2 Cd 2.75
Mn  0.0000  0.5000  0.0000  2 K 2.71
Mn  0.5000  0.0000  0.0000  2 K 2.71
Cd  0.0000  0.0000  0.5000  2 K 2.75
Te  0.5000  0.5000  0.5000  4 Cd 3.83, 8 Mn 3.86

D(E_F): 3.8 states/eV/f.u.
space-group type: No. 123
raw formation energy: 1.352 eV per atom
E: -105.74 eV per formula unit